1.
4
Lattice="-2.679 1.604 1.367 -2.263 -1.676 -2.470 -0.902 -5.234 4.376" Properties=species:S:1:pos:R:3 comment="LiMgTl2, PBEsol geometry, DFT meta-GGA SCAN" m_tot_mub_per_cell=0.0 ef_ev_per_atom=-0.23 total_energy_ev_per_cell=-153.00 pbc="T T T"
Tl -0.686 -3.982 3.330
Tl -0.216 -1.251 1.046
Mg -2.922 -2.653 1.636
Li -2.471 -0.036 -0.552


2.
4
Lattice="-1.357 0.768 -4.025 -3.416 -2.554 0.665 -0.166 4.720 3.270" Properties=species:S:1:pos:R:3 comment="LiMgTl2, PBEsol geometry, DFT meta-GGA SCAN" m_tot_mub_per_cell=0.0 ef_ev_per_atom=-0.18 total_energy_ev_per_cell=-152.81 pbc="T T T"
Tl 0.000 0.000 0.000
Tl -2.984 0.636 1.127
Mg -1.954 2.297 -1.218
Li -2.386 -0.893 -1.680


3.
4
Lattice="3.411 0.000 0.000 0.000 3.709 0.000 0.000 0.000 6.656" Properties=species:S:1:pos:R:3 comment="LiMg2Tl, PBEsol geometry, DFT meta-GGA SCAN" m_tot_mub_per_cell=0.0 ef_ev_per_atom=-0.17 total_energy_ev_per_cell=-85.38 polymorph_energy_mev_per_atom=89.3 pbc="T T T"
Tl 0.000 0.000 3.447
Mg 0.000 0.000 6.555
Mg 1.706 1.854 1.704
Li 1.706 1.854 4.933


4.
4
Lattice="4.181 0.000 0.000 0.000 4.458 0.027 0.000 -0.030 4.458" Properties=species:S:1:pos:R:3 comment="LiMg2Tl, PBEsol geometry, DFT meta-GGA SCAN" m_tot_mub_per_cell=0.0 ef_ev_per_atom=-0.22 total_energy_ev_per_cell=-85.58 polymorph_energy_mev_per_atom=41.0 pbc="T T T"
Tl 2.090 0.000 0.000
Mg 0.000 -0.015 2.229
Mg 0.000 2.229 0.013
Li 2.090 2.214 2.243


5.
4
Lattice="-2.427 2.009 1.875 -1.695 -0.845 -4.873 -1.290 -4.308 2.945" Properties=species:S:1:pos:R:3 comment="LiMgTl2, PBEsol geometry, DFT meta-GGA SCAN" m_tot_mub_per_cell=0.0 ef_ev_per_atom=-0.18 total_energy_ev_per_cell=-152.78 pbc="T T T"
Tl -3.708 -2.199 1.140
Tl -1.704 -0.946 -1.193
Mg -0.645 -2.154 1.473
Li -1.214 1.004 0.938


6.
4
Lattice="3.349 0.000 0.000 1.675 2.901 0.000 1.675 0.967 9.406" Properties=species:S:1:pos:R:3 comment="LiMgTl2, PBEsol geometry, DFT meta-GGA SCAN" m_tot_mub_per_cell=0.0 ef_ev_per_atom=-0.18 total_energy_ev_per_cell=-152.80 pbc="T T T"
Tl 1.675 0.967 2.460
Tl 5.024 2.901 6.946
Mg 0.000 0.000 0.000
Li 3.349 1.934 4.703